# VReN2O

A relaxed structure of VReN2O (PBE with a Hubbard U, the Alexandria database).

a = 3.915 Å, b = 3.915 Å, c = 3.588 Å
α = 90.00°, β = 90.00°, γ = 90.00°
Site moments in Bohr magnetons follow the coordinates.
Fractional positions:
N 0.000 0.500 0.000  -0.16
N 0.500 0.000 0.000  -0.16
Re 0.500 0.500 0.500  3.01
V 0.000 0.000 0.000  0.66
O 0.000 0.000 0.500  0.03

## Properties
Total moment in μB/atom: 0.73
Final energy in eV/f.u.: -37.3
Space-group type: P4/mmm (123)